Entry from Alexandria: a relaxed CsCoSbO4 crystal (PBE+U).

Cell lengths 5.799, 5.609, 8.859 Å; angles 90.00, 121.81, 90.00 degrees
Site moments in Bohr magnetons follow the coordinates.
Fractional positions:
Cs1 0.638 0.750 0.916  0.00
Cs2 0.362 0.250 0.084  0.00
Co1 0.243 0.750 0.355  2.66
Co2 0.757 0.250 0.645  2.66
Sb1 0.813 0.750 0.467  0.00
Sb2 0.187 0.250 0.533  0.00
O1 0.034 0.482 0.651  0.04
O2 0.966 0.982 0.349  0.04
O3 0.966 0.518 0.349  0.04
O4 0.034 0.018 0.651  0.04
O5 0.454 0.750 0.239  0.06
O6 0.546 0.250 0.761  0.06
O7 0.594 0.750 0.578  0.11
O8 0.406 0.250 0.422  0.11

Results
- Electronic total energy: -38.89 eV/f.u.